1.
9
Lattice="3.777 0.000 0.000 0.000 6.656 3.847 0.000 -6.656 3.847" Properties=species:S:1:pos:R:3 comment="Er2TmIn3PdPt2 | OQMD | PBE | relaxed" magnetic_moment_mub_per_fu=0.02 final_energy_ev_per_atom=-5.3040 pbc="T T T"
Er 0.000 -3.935 3.847
Er 0.000 3.935 3.847
Tm 0.000 0.000 2.977
In 1.888 0.000 0.433
In 1.888 -1.732 5.118
In 1.888 1.732 5.118
Pd 0.000 0.000 6.119
Pt 1.888 -2.213 2.276
Pt 1.888 2.213 2.276



2.
6
Lattice="1.557 -8.213 0.000 1.557 8.213 0.000 0.000 0.000 5.421" Properties=species:S:1:pos:R:3 comment="Zr2Sn | OQMD | PBE | relaxed" magnetic_moment_mub_per_fu=0.00 final_energy_ev_per_atom=-7.2306 pbc="T T T"
Zr 1.557 6.303 4.066
Zr 1.557 4.663 1.355
Zr 1.557 -4.663 4.066
Zr 1.557 -6.303 1.355
Sn 1.557 0.869 4.066
Sn 1.557 -0.869 1.355



3.
8
Lattice="3.625 0.000 0.000 -1.812 3.139 0.000 0.000 0.000 16.834" Properties=species:S:1:pos:R:3 comment="DyErTlB | OQMD | PBE | relaxed" magnetic_moment_mub_per_fu=0.06 final_energy_ev_per_atom=-4.6549 pbc="T T T"
Dy 0.000 0.000 2.693
Dy 0.000 0.000 14.141
Er 1.812 1.046 5.761
Er 1.812 1.046 11.073
Tl 0.000 0.000 8.417
Tl 1.812 1.046 0.000
B 0.000 2.093 4.233
B 0.000 2.093 12.601



4.
5
Lattice="4.058 0.000 0.000 -2.029 3.515 0.000 0.000 0.000 6.720" Properties=species:S:1:pos:R:3 comment="TmMgZnP2 | OQMD | PBE | relaxed" magnetic_moment_mub_per_fu=0.02 final_energy_ev_per_atom=-4.3893 pbc="T T T"
Tm 0.000 0.000 0.000
Mg 0.000 2.343 2.486
Zn 2.029 1.172 4.394
P 0.000 2.343 5.023
P 2.029 1.172 1.587



5.
36
Lattice="8.784 0.000 0.000 0.000 10.969 0.000 0.000 0.000 3.270" Properties=species:S:1:pos:R:3 comment="Mg2FeB6 | OQMD | PBE | relaxed" magnetic_moment_mub_per_fu=0.02 final_energy_ev_per_atom=-5.9346 pbc="T T T"
Mg 0.503 1.453 0.000
Mg 1.508 4.545 0.000
Mg 2.884 10.030 0.000
Mg 3.889 6.938 0.000
Mg 4.895 4.032 0.000
Mg 5.900 0.940 0.000
Mg 7.276 6.424 0.000
Mg 8.281 9.516 0.000
Fe 1.244 7.465 0.000
Fe 3.148 1.980 0.000
Fe 5.636 8.989 0.000
Fe 7.540 3.504 0.000
B 0.158 3.172 1.635
B 0.488 6.201 1.635
B 0.838 10.684 1.635
B 1.156 8.968 1.635
B 1.797 2.612 1.635
B 2.166 0.886 1.635
B 2.226 6.371 1.635
B 2.595 8.097 1.635
B 3.236 3.483 1.635
B 3.554 5.199 1.635
B 3.904 0.716 1.635
B 4.234 8.657 1.635
B 4.550 2.313 1.635
B 4.880 10.253 1.635
B 5.230 5.770 1.635
B 5.548 7.486 1.635
B 6.189 2.872 1.635
B 6.558 4.598 1.635
B 6.618 10.083 1.635
B 6.987 8.357 1.635
B 7.628 2.001 1.635
B 7.946 0.286 1.635
B 8.296 4.768 1.635
B 8.626 7.798 1.635



6.
3
Lattice="0.000 3.245 3.245 3.245 0.000 3.245 3.245 3.245 0.000" Properties=species:S:1:pos:R:3 comment="NaTmNi | OQMD | PBE | relaxed" magnetic_moment_mub_per_fu=0.00 polymorph_energy_mev_per_atom=157 pbc="T T T"
Na 0.000 0.000 0.000
Tm 1.622 1.622 1.622
Ni 4.867 4.867 4.867